1.
The following is a DFT calculation (GGA-PBE) of La2Pm6Tl after structural relaxation.

Formation enthalpy at 0 K   1.2 meV/atom
Symmetry   Immm (71)

```
data_La2Pm6Tl
_chemical_formula_sum 'La2 Pm6 Tl1'
_symmetry_space_group_name_H-M 'P 1'
_symmetry_Int_Tables_number 1
_cell_length_a 9.8672
_cell_length_b 9.8672
_cell_length_c 9.8672
_cell_angle_alpha 158.88
_cell_angle_beta 115.62
_cell_angle_gamma 68.58
loop_
_symmetry_equiv_pos_as_xyz
'x,y,z'
loop_
_atom_site_label
_atom_site_type_symbol
_atom_site_fract_x
_atom_site_fract_y
_atom_site_fract_z
_atom_site_occupancy
La1 La 0.1506 0.1506 0.0000 1
La2 La 0.8494 0.8494 0.0000 1
Pm1 Pm 0.1619 0.8235 0.3385 1
Pm2 Pm 0.2047 0.5000 0.7047 1
Pm3 Pm 0.4850 0.8235 0.6615 1
Pm4 Pm 0.5150 0.1765 0.3385 1
Pm5 Pm 0.7953 0.5000 0.2953 1
Pm6 Pm 0.8381 0.1765 0.6615 1
Tl1 Tl 0.5000 0.0000 0.5000 1
```

=====

2.
The following is a DFT calculation (GGA-PBE) of AlVP2Cl after structural relaxation.

Formation energy from raw total energies   119.7 meV per atom
Symmetry   P4/mmm (123)
E above lowest polymorph   0.000 eV per atom

```
data_AlVP2Cl
_chemical_formula_sum 'Al1 V1 P2 Cl1'
_symmetry_space_group_name_H-M 'P 1'
_symmetry_Int_Tables_number 1
_cell_length_a 4.5273
_cell_length_b 4.5273
_cell_length_c 4.9911
_cell_angle_alpha 90.00
_cell_angle_beta 90.00
_cell_angle_gamma 90.00
loop_
_symmetry_equiv_pos_as_xyz
'x,y,z'
loop_
_atom_site_label
_atom_site_type_symbol
_atom_site_fract_x
_atom_site_fract_y
_atom_site_fract_z
_atom_site_occupancy
Al1 Al 0.0000 0.0000 0.0000 1
V1 V 0.5000 0.5000 0.5000 1
P1 P 0.0000 0.5000 0.5000 1
P2 P 0.5000 0.0000 0.5000 1
Cl1 Cl 0.5000 0.5000 0.0000 1
```

=====

3.
The following is a DFT calculation (GGA-PBE) of Pa2Si3Rh2 after structural relaxation.

Formation energy from raw total energies   -864.9 meV per atom
Symmetry   Cmcm (63)

```
data_Pa2Si3Rh2
_chemical_formula_sum 'Pa4 Si6 Rh4'
_symmetry_space_group_name_H-M 'P 1'
_symmetry_Int_Tables_number 1
_cell_length_a 9.1203
_cell_length_b 9.1203
_cell_length_c 6.7779
_cell_angle_alpha 90.00
_cell_angle_beta 90.00
_cell_angle_gamma 153.78
loop_
_symmetry_equiv_pos_as_xyz
'x,y,z'
loop_
_atom_site_label
_atom_site_type_symbol
_atom_site_fract_x
_atom_site_fract_y
_atom_site_fract_z
_atom_site_occupancy
Pa1 Pa 0.0520 0.9480 0.7500 1
Pa2 Pa 0.1557 0.8443 0.2500 1
Pa3 Pa 0.8443 0.1557 0.7500 1
Pa4 Pa 0.9480 0.0520 0.2500 1
Si1 Si 0.2187 0.7813 0.7500 1
Si2 Si 0.4397 0.5603 0.5671 1
Si3 Si 0.4397 0.5603 0.9329 1
Si4 Si 0.5603 0.4397 0.0671 1
Si5 Si 0.5603 0.4397 0.4329 1
Si6 Si 0.7813 0.2187 0.2500 1
Rh1 Rh 0.3078 0.6922 0.0430 1
Rh2 Rh 0.3078 0.6922 0.4570 1
Rh3 Rh 0.6922 0.3078 0.5430 1
Rh4 Rh 0.6922 0.3078 0.9570 1
```

=====

4.
The following is a DFT calculation (GGA-PBE) of CsCeTe3 after structural relaxation.

Formation energy from raw total energies   -1003.7 meV per atom
Symmetry   Pm-3m (221)
E above lowest polymorph   0.025 eV per atom

```
data_CsCeTe3
_chemical_formula_sum 'Cs1 Ce1 Te3'
_symmetry_space_group_name_H-M 'P 1'
_symmetry_Int_Tables_number 1
_cell_length_a 6.0507
_cell_length_b 6.0507
_cell_length_c 6.0507
_cell_angle_alpha 90.00
_cell_angle_beta 90.00
_cell_angle_gamma 90.00
loop_
_symmetry_equiv_pos_as_xyz
'x,y,z'
loop_
_atom_site_label
_atom_site_type_symbol
_atom_site_fract_x
_atom_site_fract_y
_atom_site_fract_z
_atom_site_occupancy
Cs1 Cs 0.0000 0.0000 0.0000 1
Ce1 Ce 0.5000 0.5000 0.5000 1
Te1 Te 0.0000 0.5000 0.5000 1
Te2 Te 0.5000 0.0000 0.5000 1
Te3 Te 0.5000 0.5000 0.0000 1
```

=====

5.
The following is a DFT calculation (GGA-PBE) of LaTi3Nb after structural relaxation.

Formation enthalpy at 0 K   576.8 meV/atom
Symmetry   Pm-3m (221)
E above lowest polymorph   0.000 eV per atom

```
data_LaTi3Nb
_chemical_formula_sum 'La1 Ti3 Nb1'
_symmetry_space_group_name_H-M 'P 1'
_symmetry_Int_Tables_number 1
_cell_length_a 4.9311
_cell_length_b 4.9311
_cell_length_c 4.9311
_cell_angle_alpha 90.00
_cell_angle_beta 90.00
_cell_angle_gamma 90.00
loop_
_symmetry_equiv_pos_as_xyz
'x,y,z'
loop_
_atom_site_label
_atom_site_type_symbol
_atom_site_fract_x
_atom_site_fract_y
_atom_site_fract_z
_atom_site_occupancy
La1 La 0.0000 0.0000 0.0000 1
Ti1 Ti 0.0000 0.5000 0.5000 1
Ti2 Ti 0.5000 0.0000 0.5000 1
Ti3 Ti 0.5000 0.5000 0.0000 1
Nb1 Nb 0.5000 0.5000 0.5000 1
```

=====

What did we get for energy? Answer: -4.524; -4.986; -8.003; -4.246; -7.160 eV/atom, in the order shown.